Record 1
# PBE-GGA In2SnI2Cl2, relaxed
# - DFT total energy: -2.98 eV/atom
# - Symmetry: P-1 (2)
data_In2SnI2Cl2
_chemical_formula_sum 'In2 Sn1 I2 Cl2'
_symmetry_space_group_name_H-M 'P 1'
_symmetry_Int_Tables_number 1
_cell_length_a 4.328
_cell_length_b 7.904
_cell_length_c 8.344
_cell_angle_alpha 110.83
_cell_angle_beta 104.97
_cell_angle_gamma 90.05
loop_
_symmetry_equiv_pos_as_xyz
'x,y,z'
loop_
_atom_site_label
_atom_site_fract_x
_atom_site_fract_y
_atom_site_fract_z
In1 0.130 0.071 0.257
In2 0.870 0.929 0.743
Sn1 0.000 0.500 0.000
I1 0.209 0.729 0.420
I2 0.791 0.271 0.580
Cl1 0.486 0.730 0.971
Cl2 0.514 0.270 0.029



Record 2
# PBE-GGA TbHgBiPt, relaxed
# - DFT total energy: -4.25 eV/atom
# - Fermi-level density of states: 0.169 states/eV/atom
# - Symmetry: F-43m (216)
data_TbHgBiPt
_chemical_formula_sum 'Tb1 Hg1 Bi1 Pt1'
_symmetry_space_group_name_H-M 'P 1'
_symmetry_Int_Tables_number 1
_cell_length_a 5.101
_cell_length_b 5.101
_cell_length_c 5.101
_cell_angle_alpha 60.00
_cell_angle_beta 60.00
_cell_angle_gamma 60.00
loop_
_symmetry_equiv_pos_as_xyz
'x,y,z'
loop_
_atom_site_label
_atom_site_fract_x
_atom_site_fract_y
_atom_site_fract_z
Tb1 0.000 0.000 0.000
Hg1 0.250 0.250 0.250
Bi1 0.500 0.500 0.500
Pt1 0.750 0.750 0.750